Be2Zn5Au12 PBE optimized geometry; ΔH_f (0 K) = -0.1151 eV/atom; total magnetic moment = 0.00 μB per cell; relative energy among the computed polymorphs = 0.000 eV/f.u.
1.0
7.4847 -2.9700 0.0000
7.4847 2.9700 0.0000
-1.4500 0.0000 7.1510
Be Zn Au
2 5 12
Cartesian
7.4847 1.8721 0.0000 Be
7.4847 -1.8721 0.0000 Be
3.0331 0.0000 1.7687 Zn
2.8861 0.0000 5.4170 Zn
6.7597 0.0000 3.5755 Zn
10.6333 0.0000 1.7340 Zn
10.4864 0.0000 5.3823 Zn
-0.9590 0.0000 5.0841 Au
4.5205 1.5088 3.5305 Au
5.1071 1.4809 0.4802 Au
8.9990 1.5088 3.6205 Au
8.4124 1.4809 6.6708 Au
5.5365 0.0000 5.8211 Au
7.9830 0.0000 1.3299 Au
5.1071 -1.4809 0.4802 Au
4.5205 -1.5088 3.5305 Au
8.4124 -1.4809 6.6708 Au
8.9990 -1.5088 3.6205 Au
14.4785 0.0000 2.0669 Au